1.
DFT (PBE-GGA) results for a relaxed FeSnN crystal.

Cell lengths 2.996, 2.996, 12.645 Å; angles 90.00, 90.00, 120.00 degrees
Fractional coordinates of all 6 atoms:
Fe: 0.333 0.667 0.000
Fe: 0.667 0.333 0.500
Sn: 0.000 0.000 0.193
Sn: 0.000 0.000 0.693
N: 0.333 0.667 0.461
N: 0.667 0.333 0.961

Uncorrected formation energy: 0.53 eV per formula unit
Final energy: -6.7525 eV/atom
Total moment: 0.00 Bohr magnetons per cell
Energy above the lowest structure with this stoichiometry: 30 meV per atom


2.
DFT (PBE-GGA) results for a relaxed SrTlBPb crystal.

Cell lengths 3.940, 5.445, 5.445 Å; angles 67.60, 90.00, 90.00 degrees
Fractional coordinates of all 4 atoms:
Sr: 0.000 0.000 0.000
Tl: 0.500 0.319 0.319
B: 0.000 0.509 0.509
Pb: 0.500 0.671 0.671

Formation energy from the elements: 299.9 meV/atom
Final energy: -3.3086 eV/atom
Total moment: 0.00 Bohr magnetons per cell
Energy above the lowest structure with this stoichiometry: 51 meV per atom


3.
DFT (PBE-GGA) results for a relaxed Tb3Sm12Zn crystal.

Cell lengths 5.030, 5.030, 20.300 Å; angles 90.00, 90.00, 90.00 degrees
Fractional coordinates of all 16 atoms:
Tb: 0.000 0.000 0.000
Tb: 0.000 0.000 0.255
Tb: 0.000 0.000 0.745
Sm: 0.000 0.500 0.128
Sm: 0.000 0.500 0.382
Sm: 0.000 0.500 0.618
Sm: 0.000 0.500 0.872
Sm: 0.500 0.000 0.128
Sm: 0.500 0.000 0.382
Sm: 0.500 0.000 0.618
Sm: 0.500 0.000 0.872
Sm: 0.500 0.500 0.000
Sm: 0.500 0.500 0.258
Sm: 0.500 0.500 0.500
Sm: 0.500 0.500 0.742
Zn: 0.000 0.000 0.500

Formation energy from the elements: 16.3 meV/atom
Final energy: -4.4708 eV/atom
Total moment: 0.00 Bohr magnetons per cell


4.
DFT (PBE-GGA) results for a relaxed Mn2TlTc crystal.

Cell lengths 4.589, 4.589, 5.155 Å; angles 98.33, 98.33, 37.70 degrees
Fractional coordinates of all 4 atoms:
Mn: 0.245 0.245 0.213
Mn: 0.755 0.755 0.787
Tl: 0.000 0.000 0.500
Tc: 0.500 0.500 0.000

Formation energy from the elements: 543.4 meV/atom
Final energy: -7.2244 eV/atom
Total moment: 5.79 Bohr magnetons per cell